Record 1
Compound: AlTe3N
Source: Alexandria
Functional: PBE-GGA
Structure: relaxed

```
AlTe3N
1.0
4.7832 0.0000 0.0000
0.0000 4.7832 0.0000
0.0000 0.0000 4.7832
Al Te N
1 3 1
Cartesian
0.0000 0.0000 0.0000
0.0000 2.3916 2.3916
2.3916 0.0000 2.3916
2.3916 2.3916 0.0000
2.3916 2.3916 2.3916
```

Values from the calculation:
* crystal system: cubic
* energy above the most stable polymorph in this dataset: 0 meV/atom
* formation energy from raw total energies: 0.694 eV per atom

Record 2
Compound: TlRe2Sb
Source: Alexandria
Functional: PBE-GGA
Structure: relaxed

```
TlRe2Sb
1.0
3.1395 0.0000 0.0000
0.0000 4.4019 0.0000
-0.0974 0.0000 5.8064
Tl Re Sb
1 2 1
Cartesian
0.0000 0.0000 0.0000
0.5208 2.2010 1.7600
2.5213 2.2010 4.0463
1.5210 0.0000 2.9032
```

Values from the calculation:
* crystal system: monoclinic
* energy above the most stable polymorph in this dataset: 673 meV/atom
* formation energy from raw total energies: 1.054 eV per atom

Record 3
Compound: B5C7
Source: Alexandria
Functional: PBE-GGA
Structure: relaxed

```
B5C7
1.0
4.3511 -1.2466 0.0000
4.3511 1.2466 0.0000
-4.0656 0.0000 7.1890
B C
5 7
Cartesian
0.0000 0.0000 0.0000
-1.7971 0.0000 3.5063
-0.1658 0.0000 4.8165
2.2752 0.0000 1.1738
1.8588 0.0000 4.5637
-2.4791 0.0000 6.8866
-0.1238 0.0000 3.2097
3.8640 0.0000 1.0437
2.2658 0.0000 6.1317
4.5996 0.0000 2.4005
3.8056 0.0000 5.7783
6.1222 0.0000 2.1282
```

Values from the calculation:
* crystal system: monoclinic
* energy above the most stable polymorph in this dataset: 125 meV/atom
* ΔE_f: 0.3827 eV/atom

Record 4
Compound: Rb2InGeTe4
Source: Alexandria
Functional: PBE-GGA
Structure: relaxed

```
Rb2InGeTe4
1.0
0.0000 7.7349 12.9009
3.4576 0.0000 12.9009
3.4576 7.7349 0.0000
Rb In Ge Te
4 2 2 8
Cartesian
2.5932 5.8012 1.5334
4.3220 9.6686 7.9839
2.5932 5.8012 17.8179
4.3220 9.6686 24.2684
0.8644 1.9337 3.2252
6.0509 13.5361 22.5766
2.5932 5.8012 9.6757
4.3220 9.6686 16.1261
2.6437 3.5112 4.7626
4.2716 7.3786 11.2130
2.5428 8.0912 4.7626
2.5428 3.5112 14.5888
4.3725 11.9586 11.2130
4.3725 7.3786 21.0393
2.6437 8.0912 14.5888
4.2716 11.9586 21.0393
```

Values from the calculation:
* crystal system: orthorhombic
* formation energy from raw total energies: -0.537 eV per atom

Record 5
Compound: Tl2CuRh2Se6
Source: Alexandria
Functional: PBE-GGA
Structure: relaxed

```
Tl2CuRh2Se6
1.0
3.2865 -5.7212 0.0000
3.2865 5.7212 0.0000
-2.2826 0.0000 7.0594
Tl Cu Rh Se
2 1 2 6
Cartesian
3.2865 3.7978 0.0000
3.2865 -3.7978 0.0000
-1.1413 0.0000 3.5297
2.1452 1.9521 3.5297
2.1452 -1.9521 3.5297
-0.0141 1.9648 4.8281
1.0075 0.0000 2.3276
-0.0141 -1.9648 4.8281
4.3044 1.9648 2.2313
3.2828 0.0000 4.7318
4.3044 -1.9648 2.2313
```

Values from the calculation:
* crystal system: monoclinic
* formation energy from raw total energies: -0.304 eV per atom

Record 6
Compound: CeLuPd
Source: Alexandria
Functional: PBE-GGA
Structure: relaxed

```
CeLuPd
1.0
4.7849 0.0000 0.0000
-2.3925 4.1439 0.0000
0.0000 0.0000 3.7267
Ce Lu Pd
1 1 1
Cartesian
0.0000 0.0000 0.0000
2.3925 1.3813 2.0038
0.0000 2.7626 1.3247
```

Values from the calculation:
* crystal system: trigonal
* energy above the most stable polymorph in this dataset: 164 meV/atom
* ΔE_f: -0.3067 eV/atom

The records above give, respectively, DFT total energy values of -3.6051; -6.7920; -7.7801; -3.2696; -4.3437; -5.5226 eV per atom.